The following is a PBE calculation of a relaxed BaLi2As crystal, from Alexandria via LeMat-Bulk.

Results
Mass density in Mg/m³: 3.604
Spin magnetization in μB per atom: 0.2273
Total energy in eV/atom: -3.274
Formation energy in eV per atom: -0.674
SG: R3m, No. 160

Cell: 4.5143 4.5143 6.4515 Å, 69.53 69.53 60.01°
Site moments in Bohr magnetons follow the coordinates.
Positions (direct):
As (0.5626, 0.5626, 0.3123)  0.01
Ba (0.7571, 0.7571, 0.7279)  0.18
Li (0.2368, 0.2368, 0.2900)  0.01
Li (0.9434, 0.9434, 0.1698)  0.03